The following is a PBE+U calculation of a relaxed TaMnPtO6 crystal, from Alexandria.

Results
Energy ... -138.28 eV for the cell shown
Size of the total moment ... 2.02 μB/f.u.
Density ... 8.75 g/cm³

Unit cell a=4.664 b=4.664 c=9.193 alpha=90.00 beta=90.00 gamma=90.00
Space group P4_2nm (No. 102)
Symmetry-distinct sites (fractional):
Ta1 0.000 0.000 0.000
Mn1 0.000 0.000 0.329
Pt1 0.000 0.000 0.665
O1 0.192 0.192 0.494
O2 0.195 0.195 0.162
O3 0.201 0.201 0.837